Model w:
VASP calculation (PBE-GGA) on LaCo2H8 after structural relaxation.

Lattice parameters (Å, degrees): 4.8263 7.9123 3.9545 90.00 90.00 90.00
With the nearest neighbours (Å) after each atom.
Space group Cmmm (No. 65)
One atom of each set of equivalent atoms:
La: 0.0000 0.0000 0.0000  14 H 2.45-2.64
Co: 0.0000 0.3280 0.5000  6 H 1.59-1.65
H: 0.0000 0.3190 0.0000  2 H 1.79, 2 Co 1.98
H: 0.0000 0.5000 0.2696  2 Co 1.64, 3 H 1.79-1.82
H: 0.1724 0.1485 0.5000  2 Co 1.59-1.65, 2 H 1.66-1.77

=====

Model x:
VASP calculation (PBE-GGA) on LaCo2H8 after structural relaxation.

Lattice parameters (Å, degrees): 4.4748 7.7954 4.5019 90.00 90.00 90.00
With the nearest neighbours (Å) after each atom.
Space group Amm2 (No. 38)
One atom of each set of equivalent atoms:
La: 0.0000 0.0000 0.0000  16 H 2.40-2.68
Co: 0.5000 0.1722 0.5478  8 H 1.61-1.73
H: 0.2615 0.2244 0.2583  2 Co 1.64-1.73, 1 H 1.66
H: 0.2737 0.0000 0.5061  2 Co 1.69
H: 0.5000 0.1334 0.8984  2 Co 1.61-1.66, 2 H 1.66

=====

Pick model x: it beats the second-best structure by 45 meV per atom.

=====

Model w:
VASP calculation (PBE-GGA) on La2CoH2 after structural relaxation.

Lattice parameters (Å, degrees): 6.9052 6.9052 3.2986 90.00 90.00 90.00
With the nearest neighbours (Å) after each atom.
Space group P4/mbm (No. 127)
One atom of each set of equivalent atoms:
La: 0.1869 0.3131 0.0000  6 H 2.53-2.71
Co: 0.0000 0.0000 0.5000  4 H 2.77, 8 La 3.01
H: 0.1164 0.6164 0.5000  1 H 2.27, 2 La 2.53

=====

Model x:
VASP calculation (PBE-GGA) on La2CoH2 after structural relaxation.

Lattice parameters (Å, degrees): 3.6093 3.6093 13.3496 90.00 90.00 90.00
With the nearest neighbours (Å) after each atom.
Space group I4/mmm (No. 139)
One atom of each set of equivalent atoms:
La: 0.0000 0.0000 0.1303  4 H 2.41
Co: 0.0000 0.0000 0.5000  8 La 3.09
H: 0.0000 0.5000 0.2500  4 La 2.41, 4 H 2.55

=====

Pick model x: it beats the second-best structure by 176 meV per atom.

=====

Model w:
VASP calculation (PBE-GGA) on La2CoH after structural relaxation.

Lattice parameters (Å, degrees): 6.8038 6.8038 6.8038 90.00 90.00 90.00
With the nearest neighbours (Å) after each atom.
Space group Fm-3m (No. 225)
One atom of each set of equivalent atoms:
La: 0.2500 0.2500 0.2500  4 H 2.95, 4 Co 2.95
Co: 0.0000 0.0000 0.0000  8 La 2.95
H: 0.0000 0.0000 0.5000  8 La 2.95

=====

Model x:
VASP calculation (PBE-GGA) on La2CoH after structural relaxation.

Lattice parameters (Å, degrees): 3.9888 3.9888 18.8543 90.00 90.00 120.00
With the nearest neighbours (Å) after each atom.
Space group R-3m (No. 166, hexagonal axes)
One atom of each set of equivalent atoms:
La: 0.0000 0.0000 0.2505  3 Co 2.78, 3 H 2.79
Co: 0.0000 0.0000 0.0000  6 La 2.78
H: 0.0000 0.0000 0.5000  6 La 2.79

=====

Model y:
VASP calculation (PBE-GGA) on La2CoH after structural relaxation.

Lattice parameters (Å, degrees): 3.8746 3.8746 20.5509 90.00 90.00 120.00
With the nearest neighbours (Å) after each atom.
Space group R3m (No. 160, hexagonal axes)
One atom of each set of equivalent atoms:
La: 0.0000 0.0000 0.0000  3 Co 2.75, 3 H 2.84
La: 0.0000 0.0000 0.1770  3 Co 2.75, 3 H 2.92
Co: 0.0000 0.0000 0.5886  6 La 2.75
H: 0.0000 0.0000 0.4188  6 La 2.84-2.92

=====

Pick model x: it beats the second-best structure by 76 meV per atom.

=====

Model w:
VASP calculation (PBE-GGA) on LaCoH2 after structural relaxation.

Lattice parameters (Å, degrees): 5.8927 5.8927 5.8927 90.00 90.00 90.00
With the nearest neighbours (Å) after each atom.
Space group Fm-3m (No. 225)
One atom of each set of equivalent atoms:
La: 0.0000 0.0000 0.0000  8 H 2.55
Co: 0.0000 0.0000 0.5000  8 H 2.55
H: 0.2500 0.2500 0.2500  4 La 2.55, 4 Co 2.55

=====

Model x:
VASP calculation (PBE-GGA) on LaCoH2 after structural relaxation.

Lattice parameters (Å, degrees): 4.2554 4.2554 10.3938 90.00 90.00 90.00
With the nearest neighbours (Å) after each atom.
Space group I4_1/amd (No. 141, origin choice 2)
One atom of each set of equivalent atoms:
La: 0.0000 0.2500 0.3750  8 H 2.71, 4 Co 3.01
Co: 0.0000 0.2500 0.8750  4 H 1.68
H: 0.0000 0.0000 0.0000  2 Co 1.68

=====

Pick model x: it beats the second-best structure by 266 meV per atom.